# 1
The following is a GGA-PBE calculation of a relaxed BaNiRu2 crystal, from Alexandria.

## Properties
Total magnetic moment = 0.00 μB per formula unit
Relative energy among the computed polymorphs = 0.2973 eV per atom

a b c (Å): 3.1987 3.1987 7.5091
angles (deg): 90.00 90.00 90.00
Space group P4mm (No. 99)
Symmetry-distinct sites (fractional):
Ba1 0.0000 0.0000 0.0000
Ni1 0.5000 0.5000 0.3146
Ru1 0.0000 0.0000 0.4862
Ru2 0.5000 0.5000 0.6513

***

# 2
The following is a GGA-PBE calculation of a relaxed Tb3GaIr3 crystal, from Alexandria.

## Properties
Total magnetic moment = 0.00 μB per formula unit
Relative energy among the computed polymorphs = 0.0000 eV per atom

a b c (Å): 4.1562 10.2976 13.7716
angles (deg): 90.00 90.00 90.00
Space group Cmcm (No. 63)
Symmetry-distinct sites (fractional):
Tb1 0.0000 0.0154 0.2500
Tb2 0.0000 0.2958 0.1062
Ga1 0.0000 0.0000 0.0000
Ir1 0.0000 0.2670 0.7500
Ir2 0.0000 0.4144 0.5886

***

# 3
The following is a GGA-PBE calculation of a relaxed MgSc3Ru crystal, from Alexandria.

## Properties
Total magnetic moment = 0.00 μB per formula unit
Relative energy among the computed polymorphs = 1.5137 eV per atom

a b c (Å): 4.9945 4.9945 4.9945
angles (deg): 90.00 90.00 90.00
Space group Pm-3m (No. 221)
Symmetry-distinct sites (fractional):
Mg1 0.0000 0.0000 0.0000
Sc1 0.0000 0.0000 0.5000
Ru1 0.5000 0.5000 0.5000

***

# 4
The following is a GGA-PBE calculation of a relaxed FeRhW crystal, from Alexandria.

## Properties
Total magnetic moment = 2.09 μB per formula unit
Relative energy among the computed polymorphs = 0.0000 eV per atom

a b c (Å): 2.7129 3.7703 8.1846
angles (deg): 90.00 90.00 90.00
Space group Imm2 (No. 44)
Symmetry-distinct sites (fractional):
Fe1 0.0000 0.0000 0.0000
Rh1 0.0000 0.0000 0.6623
W1 0.0000 0.0000 0.3352

***

# 5
The following is a GGA-PBE calculation of a relaxed Ba8PdS3I4 crystal, from Alexandria.

## Properties
Total magnetic moment = 1.21 μB per formula unit
Energy relative to the elements, uncorrected = -24.31 eV/f.u.

a b c (Å): 9.3578 9.3578 24.7545
angles (deg): 90.00 90.00 120.00
Space group R-3m (No. 166, hexagonal axes)
Symmetry-distinct sites (fractional):
Ba1 0.0000 0.0000 0.2345
Ba2 0.0017 0.5008 0.7647
Pd1 0.0000 0.0000 0.5000
S1 0.0000 0.5000 0.5000
I1 0.0000 0.0000 0.0000
I2 0.0000 0.5000 0.0000

***

# 6
The following is a GGA-PBE calculation of a relaxed In2AgAu8 crystal, from Alexandria.

## Properties
Total magnetic moment = 0.00 μB per formula unit
Relative energy among the computed polymorphs = 0.0777 eV per atom

a b c (Å): 7.8486 14.2070 4.2888
angles (deg): 90.00 110.39 90.00
Space group C2/m (No. 12)
Symmetry-distinct sites (fractional):
In1 0.0000 0.1813 0.0000
Ag1 0.0000 0.5000 0.5000
Au1 0.0000 0.2997 0.5000
Au2 0.1224 0.0000 0.3206
Au3 0.1969 0.3911 0.1163

***

# 7
The following is a GGA-PBE calculation of a relaxed Bi3IrCl crystal, from Alexandria.

## Properties
Total magnetic moment = 0.00 μB per formula unit
Relative energy among the computed polymorphs = 1.4457 eV per atom
Energy relative to the elements, uncorrected = 6.34 eV/f.u.

a b c (Å): 5.2894 5.2894 5.2894
angles (deg): 90.00 90.00 90.00
Space group Pm-3m (No. 221)
Symmetry-distinct sites (fractional):
Bi1 0.0000 0.0000 0.5000
Ir1 0.5000 0.5000 0.5000
Cl1 0.0000 0.0000 0.0000

***

# 8
The following is a GGA-PBE calculation of a relaxed Zr2FeW crystal, from Alexandria.

## Properties
Total magnetic moment = 0.27 μB per formula unit
Relative energy among the computed polymorphs = 0.0417 eV per atom

a b c (Å): 3.2627 4.5683 9.4845
angles (deg): 90.00 90.00 90.00
Space group Imm2 (No. 44)
Symmetry-distinct sites (fractional):
Zr1 0.0000 0.0000 0.0000
Zr2 0.0000 0.5000 0.2308
Fe1 0.0000 0.5000 0.7496
W1 0.0000 0.0000 0.4671

***

# 9
The following is a GGA-PBE calculation of a relaxed SrCd2Pt2 crystal, from Alexandria.

## Properties
Total magnetic moment = 0.00 μB per formula unit
Relative energy among the computed polymorphs = 0.1340 eV per atom

a b c (Å): 8.2227 8.2227 3.0847
angles (deg): 90.00 90.00 90.00
Space group P4/mbm (No. 127)
Symmetry-distinct sites (fractional):
Sr1 0.0000 0.0000 0.0000
Cd1 0.1224 0.3776 0.0000
Pt1 0.1756 0.6756 0.5000

***

# 10
The following is a GGA-PBE calculation of a relaxed ZnSn2H2 crystal, from Alexandria.

## Properties
Total magnetic moment = 0.00 μB per formula unit
Energy = -0.1038 Ha/atom

a b c (Å): 3.4531 3.4531 13.3044
angles (deg): 90.00 90.00 90.00
Space group I4/mmm (No. 139)
Symmetry-distinct sites (fractional):
Zn1 0.0000 0.0000 0.0000
Sn1 0.0000 0.0000 0.3608
H1 0.0000 0.5000 0.2500

***

# 11
The following is a GGA-PBE calculation of a relaxed CsOsSe2O8 crystal, from Alexandria.

## Properties
Total magnetic moment = 0.00 μB per formula unit
Energy relative to the elements, uncorrected = -10.66 eV/f.u.

a b c (Å): 5.5280 5.5280 23.7921
angles (deg): 90.00 90.00 120.00
Space group R-3 (No. 148, hexagonal axes)
Symmetry-distinct sites (fractional):
Cs1 0.0000 0.0000 0.0000
Os1 0.0000 0.0000 0.5000
Se1 0.0000 0.0000 0.2188
O1 0.0000 0.0000 0.2877
O2 0.0022 0.2861 0.4545

***

# 12
The following is a GGA-PBE calculation of a relaxed KWCl2 crystal, from Alexandria.

## Properties
Total magnetic moment = 1.47 μB per formula unit
Relative energy among the computed polymorphs = 0.2255 eV per atom
Energy relative to the elements, uncorrected = 0.33 eV/f.u.

a b c (Å): 3.1395 6.2121 9.1214
angles (deg): 90.00 90.00 90.00
Space group Cmmm (No. 65)
Symmetry-distinct sites (fractional):
K1 0.0000 0.0000 0.0000
W1 0.0000 0.0000 0.5000
Cl1 0.0000 0.5000 0.2855